Crystalline Rb2UCrS4 at its relaxed geometry. Source: Alexandria via LeMat-Bulk, functional PBE-GGA.

The space group is Fddd (No. 70, origin choice 2) and the conventional cell measures 6.317, 14.254 and 24.668 Å, with angles of 90.00, 90.00 and 90.00 degrees. The asymmetric unit holds Rb at (0.125, 0.125, 0.306), U at (0.125, 0.125, 0.125), Cr at (0.125, 0.125, 0.625) and S at (0.104, 0.275, 0.825).

The formation energy without anion corrections is -0.94 eV per atom. The calculation puts the total energy at -5.86 eV per atom.

***

Crystalline Rb3UCr2S6 at its relaxed geometry. Source: Alexandria via LeMat-Bulk, functional PBE-GGA.

The space group is C2/m (No. 12) and the conventional cell measures 6.620, 11.458 and 7.940 Å, with angles of 90.00, 106.18 and 90.00 degrees. The asymmetric unit holds Rb at (0.000, 0.000, 0.000), Rb at (0.000, 0.335, 0.000), U at (0.000, 0.500, 0.500), Cr at (0.000, 0.167, 0.500), S at (0.209, 0.000, 0.679) and S at (0.235, 0.325, 0.680).

The formation energy without anion corrections is -1.03 eV per atom. The calculation puts the total energy at -5.88 eV per atom.

***

Crystalline Rb4U3CrS8 at its relaxed geometry. Source: Alexandria via LeMat-Bulk, functional PBE-GGA.

The space group is R-3m (No. 166, hexagonal axes) and the conventional cell measures 8.0324, 8.0324 and 23.1442 Å, with angles of 90.00, 90.00 and 120.00 degrees. The asymmetric unit holds Rb at (0.0000, 0.0000, 0.0000), Rb at (0.0000, 0.5000, 0.0000), U at (0.0000, 0.5000, 0.5000), Cr at (0.0000, 0.0000, 0.5000), S at (0.0000, 0.0000, 0.2321) and S at (0.0050, 0.5025, 0.2295).

The formation energy without anion corrections is -1.23 eV per atom. The calculation puts the total energy at -6.25 eV per atom.